(1)
## Mg2Sc2Zn (PBE)

Data for a relaxed structure of Mg2Sc2Zn.

As for the formation energy: 0.061 eV per atom.

The space group is P4/mbm (No. 127) and the conventional cell measures 6.799, 6.799 and 4.829 Å, with angles of 90.00, 90.00 and 90.00 degrees. The inequivalent atoms are Mg at (0.142, 0.358, 0.000), Sc at (0.170, 0.670, 0.500) and Zn at (0.000, 0.000, 0.000).

(2)
## Os3SeI (PBE)

Data for a relaxed structure of Os3SeI.

As for the formation energy without anion corrections: 2.12 eV per atom.

The space group is Pm-3m (No. 221) and the conventional cell measures 4.639, 4.639 and 4.639 Å, with angles of 90.00, 90.00 and 90.00 degrees. The inequivalent atoms are Os at (0.000, 0.000, 0.500), Se at (0.000, 0.000, 0.000) and I at (0.500, 0.500, 0.500).

(3)
## CsCd2Bi2Pb (PBE)

Data for a relaxed structure of CsCd2Bi2Pb.

As for the formation energy: -0.166 eV per atom.

The space group is P-3m1 (No. 164) and the conventional cell measures 5.2842, 5.2842 and 9.1535 Å, with angles of 90.00, 90.00 and 120.00 degrees. The inequivalent atoms are Cs at (0.0000, 0.0000, 0.0000), Cd at (0.3333, 0.6667, 0.6515), Bi at (0.3333, 0.6667, 0.2944) and Pb at (0.0000, 0.0000, 0.5000).

(4)
## Si2GeW2 (PBE)

Data for a relaxed structure of Si2GeW2.

As for the formation energy without anion corrections: 0.44 eV per atom.

The space group is I4/mmm (No. 139) and the conventional cell measures 3.879, 3.879 and 11.490 Å, with angles of 90.00, 90.00 and 90.00 degrees. The inequivalent atoms are Si at (0.000, 0.000, 0.102), Ge at (0.000, 0.000, 0.500) and W at (0.000, 0.500, 0.250).